No. 1
The following is a DFT calculation (GGA-PBE) of a geometry-optimized Cr2TcAs structure.

Geometry as POSCAR:
```
Cr2TcAs
1.0
-1.513 2.033 4.212
1.513 -2.033 4.212
1.513 2.033 -4.212
Cr Tc As
2 1 1
direct
0.243 0.243 0.000 Cr
0.757 0.757 0.000 Cr
0.500 0.000 0.500 Tc
0.000 0.500 0.500 As
```

## Properties
Its energy of formation is 3.7 kJ/mol of atoms. As for the density of states at the Fermi level: 0.977 states/eV/atom.

***

No. 2
The following is a DFT calculation (GGA-PBE) of a geometry-optimized CrTcAs2 structure.

Geometry as POSCAR:
```
CrTcAs2
1.0
-2.779 2.779 5.686
2.779 -2.779 5.686
2.779 2.779 -5.686
Cr Tc As
2 2 4
direct
0.000 0.000 0.000 Cr
0.750 0.250 0.500 Cr
0.250 0.750 0.500 Tc
0.500 0.500 0.000 Tc
0.136 0.625 0.011 As
0.375 0.386 0.511 As
0.614 0.125 0.989 As
0.875 0.864 0.489 As
```

## Properties
Its energy of formation is 35.3 kJ/mol of atoms. For the energy above the most stable polymorph in this dataset, the calculation gives 458.5 meV per atom. As for the density of states at the Fermi level: 0.880 states/eV/atom.

***

No. 3
The following is a DFT calculation (GGA-PBE) of a geometry-optimized CrTcAs2 structure.

Geometry as POSCAR:
```
CrTcAs2
1.0
4.329 0.000 0.000
0.000 4.329 0.000
0.000 0.000 3.054
Cr Tc As
1 1 2
direct
0.000 0.000 0.000 Cr
0.500 0.500 0.000 Tc
0.000 0.500 0.500 As
0.500 0.000 0.500 As
```

## Properties
Its energy of formation is 0.9 kJ/mol of atoms. For the energy above the most stable polymorph in this dataset, the calculation gives 101.9 meV per atom. As for the density of states at the Fermi level: 0.869 states/eV/atom.